{"formula": "LiPOs", "functional": "GGA-PBE", "state": "optimized geometry", "energy_ev_per_cell": -19.5, "sg": "F-43m, No. 216", "crystal_system": "cubic", "cell": [[0.000, 2.732, 2.732], [2.732, 0.000, 2.732], [2.732, 2.732, 0.000]], "species": ["Li", "P", "Os"], "frac_coords": [[0.000, 0.000, 0.000], [0.250, 0.250, 0.250], [0.500, 0.500, 0.500]]}